First-principles (meta-GGA SCAN) data for a crystal of Sr4MgZr relaxed with PBEsol, as listed in the Alexandria database.

Cell: 6.9572 6.9572 6.9572 Å, 60.00 60.00 60.00°
Fractional coordinates of all 6 atoms:
Sr  0.3758  0.3758  0.8726
Sr  0.8726  0.3758  0.3758
Mg  0.0000  0.0000  0.0000
Sr  0.3758  0.8726  0.3758
Sr  0.3758  0.3758  0.3758
Zr  0.7500  0.7500  0.7500

- Raw total energy: -20.10 eV/atom
- DOS at the Fermi energy: 1.20 states/eV per atom
- ΔE_f: 692 meV per atom
- Total magnetization: 0.6863 μB/atom